No. 1
Ga2AgRh | PBE-GGA | optimized geometry Values from VASP.

Quantum ESPRESSO input file:
```
&SYSTEM
  ibrav = 0, nat = 4, ntyp = 3
/
ATOMIC_SPECIES
Ga 69.72 Ga.upf
Ag 107.87 Ag.upf
Rh 102.91 Rh.upf
CELL_PARAMETERS angstrom
4.418 0.000 0.000
0.000 4.418 0.000
0.000 0.000 3.165
ATOMIC_POSITIONS angstrom
Ga 0.000 2.209 0.000
Ga 2.209 0.000 0.000
Ag 0.000 0.000 1.582
Rh 2.209 2.209 1.582
```

Values from the calculation:
**DFT formation energy**: -227.7 meV/atom
**Final energy**: -4.2919 eV per atom
**SG**: P4/mmm (123)
**Energy relative to the lowest polymorph listed for this composition**: 49 meV/atom


No. 2
GaAgRh3 | PBE-GGA | optimized geometry Values from VASP.

Quantum ESPRESSO input file:
```
&SYSTEM
  ibrav = 0, nat = 5, ntyp = 3
/
ATOMIC_SPECIES
Ga 69.72 Ga.upf
Ag 107.87 Ag.upf
Rh 102.91 Rh.upf
CELL_PARAMETERS angstrom
4.558 0.000 0.000
0.000 4.558 0.000
0.000 0.000 4.558
ATOMIC_POSITIONS angstrom
Ga 0.000 0.000 0.000
Ag 2.279 2.279 2.279
Rh 0.000 0.000 2.279
Rh 0.000 2.279 0.000
Rh 2.279 0.000 0.000
```

Values from the calculation:
**DFT formation energy**: 765.4 meV/atom
**Final energy**: -4.8211 eV per atom
**SG**: Pm-3m (221)
**Energy relative to the lowest polymorph listed for this composition**: 0 meV/atom


What is the formula in the first record?
Ga2AgRh